## w
Density functional theory data (PBE) for a relaxed Re4Se5 crystal.

Lattice parameters (Å, degrees): 7.4846 7.4846 7.4846 92.21 92.21 157.34
Fractional positions:
Re 0.0000 0.3532 0.3532
Re 0.0000 0.6468 0.6468
Re 0.3532 0.0000 0.3532
Re 0.6468 0.0000 0.6468
Se 0.0000 0.0000 0.0000
Se 0.3390 0.3390 0.6779
Se 0.3390 0.6610 0.0000
Se 0.6610 0.3390 0.0000
Se 0.6610 0.6610 0.3221

Summary:
* spin magnetization: 0.00 μB/atom
* space group: I4/mmm, No. 139

***

## x
Density functional theory data (PBE) for a relaxed Re4Se5 crystal.

Lattice parameters (Å, degrees): 7.5055 7.5055 6.1674 90.00 90.00 120.00
Fractional positions:
Re 0.0000 0.0000 0.0000
Re 0.0000 0.0000 0.5000
Re 0.0000 0.3562 0.2500
Re 0.0000 0.6438 0.7500
Re 0.3562 0.0000 0.2500
Re 0.3562 0.3562 0.7500
Re 0.6438 0.0000 0.7500
Re 0.6438 0.6438 0.2500
Se 0.0000 0.2892 0.7500
Se 0.0000 0.7108 0.2500
Se 0.2892 0.0000 0.7500
Se 0.2892 0.2892 0.2500
Se 0.3333 0.6667 0.0000
Se 0.3333 0.6667 0.5000
Se 0.6667 0.3333 0.0000
Se 0.6667 0.3333 0.5000
Se 0.7108 0.0000 0.2500
Se 0.7108 0.7108 0.7500

Summary:
* spin magnetization: 0.00 μB/atom
* space group: P6_3/mcm, No. 193

***

Of them, w has the highest stability.